{
  "formula": "SrTl2Br8",
  "functional": "PBE",
  "state": "optimized geometry",
  "de_polymorph_ev_per_fu": 0.02,
  "formation_energy_uncorrected_ev_per_fu": -9.9,
  "spacegroup": "No. 12",
  "n_ef_per_ev_cell": 0.00,
  "volume_a3_per_cell": 491,
  "final_energy_ev_per_atom": -2.703,
  "magmom_total_mub_per_fu": 0.0,
  "lattice": [[7.1021, 0.5389, 0.4089], [0.7796, 8.5529, 0.1245], [0.7796, 2.4229, 8.2035]],
  "species": ["Br", "Br", "Br", "Br", "Br", "Br", "Br", "Br", "Sr", "Tl", "Tl"],
  "fractional_positions": [[0.1842, 0.3974, 0.3974], [0.7778, 0.6958, 0.0915], [0.7000, 0.1958, 0.1958], [0.3000, 0.8042, 0.8042], [0.7778, 0.0915, 0.6958], [0.2222, 0.9085, 0.3042], [0.8158, 0.6026, 0.6026], [0.2222, 0.3042, 0.9085], [0.0000, 0.0000, 0.0000], [0.3215, 0.2114, 0.2114], [0.6785, 0.7886, 0.7886]]
}

***

{
  "formula": "SrTl2Br4",
  "functional": "PBE",
  "state": "optimized geometry",
  "de_polymorph_ev_per_fu": 0.00,
  "formation_energy_uncorrected_ev_per_fu": -9.7,
  "spacegroup": "No. 12",
  "n_ef_per_ev_cell": 0.00,
  "volume_a3_per_cell": 289,
  "final_energy_ev_per_atom": -3.256,
  "magmom_total_mub_per_fu": 0.0,
  "lattice": [[4.5874, 0.0000, 0.0000], [0.0000, 8.6912, -0.3328], [-2.2937, -4.5568, 7.4132]],
  "species": ["Tl", "Tl", "Sr", "Br", "Br", "Br", "Br"],
  "fractional_positions": [[0.7051, 0.7231, 0.4102], [0.2949, 0.2769, 0.5898], [0.0000, 0.0000, 0.0000], [0.8832, 0.1623, 0.7663], [0.1168, 0.8377, 0.2337], [0.6274, 0.2535, 0.2549], [0.3726, 0.7465, 0.7451]]
}

***

{
  "formula": "SrTlBr",
  "functional": "PBE",
  "state": "optimized geometry",
  "de_polymorph_ev_per_fu": 0.10,
  "formation_energy_uncorrected_ev_per_fu": -3.3,
  "spacegroup": "No. 139",
  "n_ef_per_ev_cell": 6.89,
  "volume_a3_per_cell": 396,
  "final_energy_ev_per_atom": -2.994,
  "magmom_total_mub_per_fu": 0.0,
  "lattice": [[-17.2016, 7.7930, 7.3249], [-1.0060, -3.9113, 1.7989], [2.1051, 1.1631, 3.7062]],
  "species": ["Br", "Br", "Br", "Br", "Sr", "Sr", "Sr", "Sr", "Tl", "Tl", "Tl", "Tl"],
  "fractional_positions": [[0.6957, 0.0000, 0.0000], [0.8043, 0.5000, 0.5000], [0.1957, 0.5000, 0.5000], [0.3043, 0.0000, 0.0000], [0.1420, 0.0000, 0.0000], [0.6420, 0.5000, 0.5000], [0.8580, 0.0000, 0.0000], [0.3580, 0.5000, 0.5000], [0.0000, 0.5000, 0.0000], [0.5000, 0.5000, 0.0000], [0.0000, 0.0000, 0.5000], [0.5000, 0.0000, 0.5000]]
}

***

{
  "formula": "SrTl2Br2",
  "functional": "PBE",
  "state": "optimized geometry",
  "de_polymorph_ev_per_fu": 1.45,
  "formation_energy_uncorrected_ev_per_fu": -3.1,
  "spacegroup": "No. 127",
  "n_ef_per_ev_cell": 2.92,
  "volume_a3_per_cell": 369,
  "final_energy_ev_per_atom": -2.570,
  "magmom_total_mub_per_fu": 0.0,
  "lattice": [[-2.1408, 7.0884, -4.3515], [-7.0453, -3.9337, -2.9418], [-2.5770, 1.6533, 3.9610]],
  "species": ["Br", "Br", "Br", "Br", "Tl", "Tl", "Tl", "Tl", "Sr", "Sr"],
  "fractional_positions": [[0.2928, 0.2072, 0.5000], [0.7928, 0.2928, 0.5000], [0.7072, 0.7928, 0.5000], [0.2072, 0.7072, 0.5000], [0.1281, 0.3719, 0.0000], [0.3719, 0.8719, 0.0000], [0.8719, 0.6281, 0.0000], [0.6281, 0.1281, 0.0000], [0.5000, 0.5000, 0.0000], [0.0000, 0.0000, 0.0000]]
}

***

{
  "formula": "Sr2TlBr",
  "functional": "PBE",
  "state": "optimized geometry",
  "de_polymorph_ev_per_fu": 0.41,
  "formation_energy_uncorrected_ev_per_fu": -3.4,
  "spacegroup": "No. 44",
  "n_ef_per_ev_cell": 2.17,
  "volume_a3_per_cell": 151,
  "final_energy_ev_per_atom": -2.711,
  "magmom_total_mub_per_fu": 0.0,
  "lattice": [[9.2468, 0.0186, 0.0026], [7.3739, 5.5793, -0.0026], [-8.2720, -2.9129, 2.9313]],
  "species": ["Sr", "Sr", "Tl", "Br"],
  "fractional_positions": [[0.0446, 0.0446, 0.0000], [0.8017, 0.3017, 0.5000], [0.4480, 0.4480, 0.0000], [0.2057, 0.7057, 0.5000]]
}

***

{
  "formula": "SrTlBr3",
  "functional": "PBE",
  "state": "optimized geometry",
  "formation_energy_uncorrected_ev_per_fu": -8.0,
  "spacegroup": "No. 11",
  "n_ef_per_ev_cell": 0.00,
  "volume_a3_per_cell": 403,
  "final_energy_ev_per_atom": -3.415,
  "magmom_total_mub_per_fu": 0.0,
  "lattice": [[-3.5917, -1.2673, -2.5627], [-1.0487, -7.8887, 5.3708], [-5.4960, 5.3581, 5.0528]],
  "species": ["Br", "Br", "Br", "Br", "Br", "Br", "Sr", "Sr", "Tl", "Tl"],
  "fractional_positions": [[0.7500, 0.3104, 0.9636], [0.7500, 0.6402, 0.4031], [0.2500, 0.3598, 0.5969], [0.2500, 0.9463, 0.6756], [0.7500, 0.0537, 0.3244], [0.2500, 0.6896, 0.0364], [0.7500, 0.1625, 0.6572], [0.2500, 0.8375, 0.3428], [0.7500, 0.6024, 0.7971], [0.2500, 0.3976, 0.2029]]
}

***

{
  "formula": "SrTlBr",
  "functional": "PBE",
  "state": "optimized geometry",
  "de_polymorph_ev_per_fu": 0.06,
  "formation_energy_uncorrected_ev_per_fu": -3.3,
  "spacegroup": "No. 160",
  "n_ef_per_ev_cell": 3.62,
  "volume_a3_per_cell": 672,
  "final_energy_ev_per_atom": -3.010,
  "magmom_total_mub_per_fu": 0.0,
  "lattice": [[4.9185, 0.0000, 0.0000], [-2.4593, 4.2596, 0.0000], [0.0000, 0.0000, 32.0692]],
  "species": ["Tl", "Tl", "Tl", "Tl", "Tl", "Tl", "Br", "Br", "Br", "Br", "Br", "Br", "Sr", "Sr", "Sr", "Sr", "Sr", "Sr"],
  "fractional_positions": [[0.6667, 0.3333, 0.5255], [0.0000, 0.0000, 0.1922], [0.0000, 0.0000, 0.8788], [0.3333, 0.6667, 0.8588], [0.6667, 0.3333, 0.2122], [0.3333, 0.6667, 0.5455], [0.3333, 0.6667, 0.9884], [0.6667, 0.3333, 0.6551], [0.0000, 0.0000, 0.3218], [0.3333, 0.6667, 0.7476], [0.0000, 0.0000, 0.0809], [0.6667, 0.3333, 0.4142], [0.0000, 0.0000, 0.6117], [0.0000, 0.0000, 0.4582], [0.3333, 0.6667, 0.1249], [0.6667, 0.3333, 0.9450], [0.6667, 0.3333, 0.7915], [0.3333, 0.6667, 0.2784]]
}

***

{
  "formula": "SrTl4Br6",
  "functional": "PBE",
  "state": "optimized geometry",
  "formation_energy_uncorrected_ev_per_fu": -13.0,
  "spacegroup": "No. 167",
  "n_ef_per_ev_cell": 0.00,
  "volume_a3_per_cell": 829,
  "final_energy_ev_per_atom": -3.109,
  "magmom_total_mub_per_fu": 0.0,
  "lattice": [[9.3929, -0.0608, -0.0176], [0.0174, 9.3931, -0.0176], [0.0613, 0.0608, 9.3928]],
  "species": ["Tl", "Tl", "Tl", "Tl", "Tl", "Tl", "Tl", "Tl", "Br", "Br", "Br", "Br", "Br", "Br", "Br", "Br", "Br", "Br", "Br", "Br", "Sr", "Sr"],
  "fractional_positions": [[0.8830, 0.2500, 0.3830], [0.2500, 0.6170, 0.1170], [0.1170, 0.7500, 0.6170], [0.3830, 0.1170, 0.2500], [0.7500, 0.3830, 0.8830], [0.6170, 0.8830, 0.7500], [0.7500, 0.7500, 0.2500], [0.2500, 0.2500, 0.7500], [0.1908, 0.4275, 0.4435], [0.0725, 0.3092, 0.0565], [0.4275, 0.5565, 0.8092], [0.8092, 0.5725, 0.5565], [0.5725, 0.4435, 0.1908], [0.4435, 0.8092, 0.4275], [0.9275, 0.6908, 0.9435], [0.6908, 0.0565, 0.0725], [0.5565, 0.1908, 0.5725], [0.9435, 0.0725, 0.6908], [0.3092, 0.9435, 0.9275], [0.0565, 0.9275, 0.3092], [0.0000, 0.0000, 0.0000], [0.5000, 0.5000, 0.5000]]
}